[1]
DFT (PBE-GGA) results for a relaxed structure of CeDy4Te5.

Computed properties:
Raw formation energy: -12.960 eV per formula unit

abc: 4.369 4.369 31.153
angles: 90.00 90.00 90.00
Space group I4/mmm (No. 139)
Inequivalent atoms, fractional coordinates:
Ce 0.000 0.000 0.000 x2
Dy 0.000 0.000 0.206 x4
Dy 0.000 0.000 0.404 x4
Te 0.000 0.000 0.104 x4
Te 0.000 0.000 0.304 x4
Te 0.000 0.000 0.500 x2

[2]
DFT (PBE-GGA) results for a relaxed structure of ZnGa2Ni5B2.

Computed properties:
Formation energy from the elements: -203 meV per atom

abc: 8.728 8.728 2.848
angles: 90.00 90.00 90.00
Space group P4/mbm (No. 127)
Inequivalent atoms, fractional coordinates:
Zn 0.000 0.000 0.000 x2
Ga 0.180 0.320 0.000 x4
Ni 0.000 0.500 0.500 x2
Ni 0.066 0.777 0.500 x8
B 0.124 0.624 0.000 x4

[3]
DFT (PBE-GGA) results for a relaxed structure of Ce2TcGe3.

Computed properties:
Formation energy from the elements: -339 meV per atom

abc: 4.499 5.648 10.346
angles: 90.00 90.00 90.00
Space group Immm (No. 71)
Inequivalent atoms, fractional coordinates:
Ce 0.000 0.000 0.187 x4
Tc 0.000 0.000 0.500 x2
Ge 0.000 0.500 0.126 x4
Ge 0.000 0.500 0.500 x2

[4]
DFT (PBE-GGA) results for a relaxed structure of Hf2ZrSe.

Computed properties:
Raw formation energy: -0.584 eV per formula unit

abc: 8.163 8.163 5.461
angles: 90.00 90.00 90.00
Space group I-42d (No. 122)
Inequivalent atoms, fractional coordinates:
Hf 0.184 0.750 0.125 x8
Zr 0.000 0.000 0.500 x4
Se 0.000 0.000 0.000 x4

[5]
DFT (PBE-GGA) results for a relaxed structure of Ac5Pr4Hg.

Computed properties:
Formation energy from the elements: -77 meV per atom

abc: 3.928 3.928 25.453
angles: 90.00 90.00 90.00
Space group P4/mmm (No. 123)
Inequivalent atoms, fractional coordinates:
Ac 0.000 0.000 0.000 x1
Ac 0.000 0.000 0.208 x2
Ac 0.000 0.000 0.418 x2
Pr 0.500 0.500 0.104 x2
Pr 0.500 0.500 0.311 x2
Hg 0.500 0.500 0.500 x1

[6]
DFT (PBE-GGA) results for a relaxed structure of Dy5OsPd2.

Computed properties:
Formation energy from the elements: -539 meV per atom

abc: 7.174 7.174 14.929
angles: 90.00 90.00 90.00
Space group I4/mcm (No. 140)
Inequivalent atoms, fractional coordinates:
Dy 0.000 0.000 0.000 x4
Dy 0.174 0.326 0.152 x16
Os 0.000 0.000 0.250 x4
Pd 0.131 0.369 0.500 x8

Calculated size of the total moment (μB/cell), listed in the same order as above: 2.52 0.00 0.01 0.00 0.00 0.00
Calculated DOS(E_F) (states/eV/cell), listed in the same order as above: 22.3 9.3 19.7 16.4 14.7 27.1